1.
# Tl3InBr7 (GGA-PBE, optimized geometry)
# ΔE_f (raw) = -0.716 eV/atom
# E = -2.675 eV/atom
# Symmetry = No. 160
data_Tl3InBr7
_symmetry_space_group_name_H-M 'P 1'
_symmetry_Int_Tables_number 1
_cell_length_a 7.9314
_cell_length_b 7.9314
_cell_length_c 7.9314
_cell_angle_alpha 95.01
_cell_angle_beta 95.01
_cell_angle_gamma 95.01
loop_
_symmetry_equiv_pos_as_xyz
'x,y,z'
loop_
_atom_site_label
_atom_site_type_symbol
_atom_site_fract_x
_atom_site_fract_y
_atom_site_fract_z
Tl1 Tl 0.1903 0.1903 0.6194
Tl2 Tl 0.1903 0.6194 0.1903
Tl3 Tl 0.6194 0.1903 0.1903
In1 In 0.6929 0.6929 0.6929
Br1 Br 0.3535 0.3535 0.9723
Br2 Br 0.3535 0.9723 0.3535
Br3 Br 0.4859 0.4859 0.4859
Br4 Br 0.5159 0.8753 0.8753
Br5 Br 0.8753 0.5159 0.8753
Br6 Br 0.8753 0.8753 0.5159
Br7 Br 0.9723 0.3535 0.3535

***

2.
# K12Rb2Se7 (GGA-PBE, optimized geometry)
# ΔE_f (raw) = -1.063 eV/atom
# E = -2.944 eV/atom
# Symmetry = No. 174
data_K12Rb2Se7
_symmetry_space_group_name_H-M 'P 1'
_symmetry_Int_Tables_number 1
_cell_length_a 13.2487
_cell_length_b 13.2487
_cell_length_c 5.0400
_cell_angle_alpha 90.00
_cell_angle_beta 90.00
_cell_angle_gamma 120.00
loop_
_symmetry_equiv_pos_as_xyz
'x,y,z'
loop_
_atom_site_label
_atom_site_type_symbol
_atom_site_fract_x
_atom_site_fract_y
_atom_site_fract_z
K1 K 0.0513 0.4417 0.0000
K2 K 0.1170 0.2789 0.5000
K3 K 0.1620 0.8830 0.5000
K4 K 0.2218 0.1250 0.0000
K5 K 0.3905 0.9487 0.0000
K6 K 0.4310 0.3718 0.5000
K7 K 0.5583 0.6095 0.0000
K8 K 0.6282 0.0592 0.5000
K9 K 0.7211 0.8380 0.5000
K10 K 0.8750 0.0968 0.0000
K11 K 0.9032 0.7782 0.0000
K12 K 0.9408 0.5690 0.5000
Rb1 Rb 0.3333 0.6667 0.5000
Rb2 Rb 0.6667 0.3333 0.0000
Se1 Se 0.0000 0.0000 0.5000
Se2 Se 0.1259 0.7142 0.0000
Se3 Se 0.2858 0.4117 0.0000
Se4 Se 0.4178 0.1223 0.5000
Se5 Se 0.5883 0.8741 0.0000
Se6 Se 0.7045 0.5822 0.5000
Se7 Se 0.8777 0.2955 0.5000

***

no.,total moment (Bohr magnetons per cell)
1,0.0
2,0.0